No. 1
## NdFe2Si2 (GGA-PBEsol)

Data for a relaxed structure of NdFe2Si2.

Computed properties:
Density of states at the Fermi level, states/eV per atom: 0.850
Uncorrected formation energy, eV/atom: -0.690

Cell lengths 3.971, 3.971, 5.569 Å; angles 110.89, 110.89, 90.00 degrees
Sites, in units of the cell vectors:
Si 0.361 0.361 0.722
Si 0.639 0.639 0.278
Nd 0.000 0.000 0.000
Fe 0.250 0.750 0.500
Fe 0.750 0.250 0.500

=====

No. 2
## MnCdOs (GGA-PBEsol)

Data for a relaxed structure of MnCdOs.

Computed properties:
Formation energy from the elements, eV/atom: 0.573
Density of states at the Fermi level, states/eV per atom: 0.880

Cell lengths 2.675, 4.409, 4.409 Å; angles 120.00, 90.00, 90.00 degrees
Site moments in Bohr magnetons follow the coordinates.
Sites, in units of the cell vectors:
Cd 0.977 0.000 0.000  -0.01
Mn 0.597 0.667 0.333  2.86
Os 0.425 0.333 0.667  0.09

=====

No. 3
## As2SeBr (GGA-PBEsol)

Data for a relaxed structure of As2SeBr.

Computed properties:
ΔE to the lowest computed polymorph, meV/atom: 0
Density of states at the Fermi level, states/eV per atom: 0.554
Uncorrected formation energy, eV/atom: 0.324

Cell lengths 2.871, 2.871, 11.049 Å; angles 90.00, 90.00, 105.30 degrees
Sites, in units of the cell vectors:
As 0.000 0.000 0.980
As 0.500 0.500 0.796
Se 0.500 0.500 0.203
Br 0.000 0.000 0.522

=====

No. 4
## MnTl2P (GGA-PBEsol)

Data for a relaxed structure of MnTl2P.

Computed properties:
ΔE to the lowest computed polymorph, meV/atom: 293
Formation energy from the elements, eV/atom: 0.554
Density of states at the Fermi level, states/eV per atom: 0.556

Cell lengths 4.093, 4.093, 5.867 Å; angles 110.42, 110.42, 90.00 degrees
Site moments in Bohr magnetons follow the coordinates.
Sites, in units of the cell vectors:
Mn 0.500 0.500 0.000  4.04
P 0.000 0.000 0.000  -0.02
Tl 0.750 0.250 0.500  0.00
Tl 0.250 0.750 0.500  0.00

=====

No. 5
## Ba2OsBr (GGA-PBEsol)

Data for a relaxed structure of Ba2OsBr.

Computed properties:
ΔE to the lowest computed polymorph, meV/atom: 137
Density of states at the Fermi level, states/eV per atom: 0.650
Uncorrected formation energy, eV/atom: -0.087

Cell lengths 3.940, 5.066, 6.232 Å; angles 90.00, 90.00, 90.00 degrees
Site moments in Bohr magnetons follow the coordinates.
Sites, in units of the cell vectors:
Os 0.500 0.500 0.875  0.75
Ba 0.000 0.000 0.875  -0.01
Ba 0.500 0.500 0.375  -0.02
Br 0.000 0.000 0.375  0.00

=====

No. 6
## SrCoSe (GGA-PBEsol)

Data for a relaxed structure of SrCoSe.

Computed properties:
Density of states at the Fermi level, states/eV per atom: 2.002
Uncorrected formation energy, eV/atom: -0.108

Cell lengths 4.609, 4.609, 4.609 Å; angles 60.00, 60.00, 60.00 degrees
Site moments in Bohr magnetons follow the coordinates.
Sites, in units of the cell vectors:
Co 0.500 0.500 0.500  1.35
Se 0.250 0.250 0.250  0.02
Sr 0.000 0.000 0.000  -0.05

=====

No. 7
## KMgSc3 (GGA-PBEsol)

Data for a relaxed structure of KMgSc3.

Computed properties:
ΔE to the lowest computed polymorph, meV/atom: 0
Formation energy from the elements, eV/atom: 0.850
Density of states at the Fermi level, states/eV per atom: 1.881

Cell lengths 5.465, 5.465, 5.465 Å; angles 90.00, 90.00, 90.00 degrees
Sites, in units of the cell vectors:
Sc 0.000 0.500 0.000
Sc 0.000 0.000 0.500
Sc 0.500 0.000 0.000
K 0.500 0.500 0.500
Mg 0.000 0.000 0.000

=====

No. 8
## BaTlCrH2 (GGA-PBEsol)

Data for a relaxed structure of BaTlCrH2.

Computed properties:
Density of states at the Fermi level, states/eV per atom: 0.677

Cell lengths 4.520, 4.520, 6.905 Å; angles 90.00, 90.00, 90.00 degrees
Site moments in Bohr magnetons follow the coordinates.
Sites, in units of the cell vectors:
Cr 0.500 0.500 0.500  4.14
Tl 0.000 0.000 0.500  0.01
Ba 0.000 0.000 0.000  -0.02
H 0.000 0.500 0.000  -0.01
H 0.500 0.000 0.000  -0.01

=====

no.,raw total energy (eV/atom)
1,-7.61
2,-7.15
3,-3.66
4,-4.65
5,-4.68
6,-4.58
7,-3.68
8,-3.47